Here is a relaxed structure of CaPm2AgS4 from Alexandria via LeMat-Bulk. Energies are from GGA-PBE.

**Fermi-level density of states**: 3.04 states/eV/cell
**Size of the total moment**: 0.00 μB per formula unit
**E**: -5.506 eV/atom

a = 4.0400 Å, b = 6.9596 Å, c = 7.0069 Å
α = 110.13°, β = 90.00°, γ = 90.00°
Sites, in units of the cell vectors:
Ca: 0.5000 0.5000 0.0000
Pm: 0.5000 0.0000 0.5000
Pm: 0.0000 0.5000 0.5000
Ag: 0.0000 0.0000 0.0000
S: 0.5000 0.2496 0.2507
S: 0.5000 0.7504 0.7493
S: 0.0000 0.2536 0.7492
S: 0.0000 0.7464 0.2508